DFT (PBE-GGA) results for a geometry-optimized TiCoGe2 structure. Values from VASP.

Cell and atoms, written as Quantum ESPRESSO input:
```
&SYSTEM
  ibrav = 0, nat = 4, ntyp = 3
/
ATOMIC_SPECIES
Ti 47.87 Ti.upf
Ge 72.64 Ge.upf
Co 58.93 Co.upf
ATOMIC_POSITIONS angstrom
Ti 0.000 0.000 0.000
Ge -0.662 -2.541 0.397
Ge -1.986 -7.624 1.192
Co -1.324 -5.083 0.795
CELL_PARAMETERS angstrom
1.291 -3.769 1.714
-2.901 -2.661 1.821
-1.037 -3.735 -1.945
```

Values from the calculation:
SG ... Fm-3m, No. 225
Energy of formation from the pure elements ... -0.110 eV/atom
Raw total energy ... -6.169 eV per atom

DFT (PBE-GGA) results for a geometry-optimized Th6As5Pd structure. Values from VASP.

Cell and atoms, written as Quantum ESPRESSO input:
```
&SYSTEM
  ibrav = 0, nat = 12, ntyp = 3
/
ATOMIC_SPECIES
Th 232.04 Th.upf
As 74.92 As.upf
Pd 106.42 Pd.upf
ATOMIC_POSITIONS angstrom
Th -0.994 2.581 1.145
Th 0.937 1.683 4.829
Th 2.717 0.515 1.145
Th 4.462 3.651 3.484
Th 0.751 5.716 3.484
Th 2.531 4.549 -0.199
As -0.177 4.013 -1.364
As -1.941 5.161 2.315
As 3.504 1.964 -1.364
As 1.734 3.116 2.315
As 5.409 1.070 2.315
Pd 0.000 0.000 0.000
CELL_PARAMETERS angstrom
7.223 -0.105 -1.364
-3.896 6.082 -1.364
0.142 0.255 7.358
```

Values from the calculation:
SG ... C2/m, No. 12
Energy of formation from the pure elements ... -1.255 eV/atom
Raw total energy ... -7.335 eV per atom

DFT (PBE-GGA) results for a geometry-optimized YTcN3 structure. Values from VASP.

Cell and atoms, written as Quantum ESPRESSO input:
```
&SYSTEM
  ibrav = 0, nat = 10, ntyp = 3
/
ATOMIC_SPECIES
Y 88.91 Y.upf
Tc 98.00 Tc.upf
N 14.01 N.upf
ATOMIC_POSITIONS angstrom
Y 4.362 0.609 0.715
Y 3.997 2.841 3.668
Tc 7.543 3.826 3.177
Tc 2.689 3.261 0.303
N 5.788 4.387 3.693
N 2.110 1.328 0.188
N 7.812 3.741 1.357
N 7.892 0.907 3.905
N 8.292 2.160 3.905
N 4.234 2.767 1.404
CELL_PARAMETERS angstrom
6.657 -0.010 0.003
1.227 3.843 0.000
3.125 1.119 5.506
```

Values from the calculation:
SG ... Cm, No. 8
Raw total energy ... -8.850 eV per atom
Formation energy without anion corrections ... -489 meV/atom

DFT (PBE-GGA) results for a geometry-optimized Sr4AuN structure. Values from VASP.

Cell and atoms, written as Quantum ESPRESSO input:
```
&SYSTEM
  ibrav = 0, nat = 12, ntyp = 3
/
ATOMIC_SPECIES
Sr 87.62 Sr.upf
Au 196.97 Au.upf
N 14.01 N.upf
ATOMIC_POSITIONS angstrom
Sr -0.849 1.758 7.120
Sr 4.145 2.144 0.764
Sr -0.412 4.705 4.709
Sr -2.752 -2.054 7.120
Sr 3.401 2.803 4.709
Sr 6.048 5.956 0.764
Sr 3.708 -0.803 3.175
Sr -0.106 1.099 3.175
Au 1.494 3.754 1.972
Au 1.801 0.148 5.911
N -2.107 3.457 5.924
N 5.402 0.445 1.960
CELL_PARAMETERS angstrom
7.203 0.593 0.000
-0.613 7.211 0.000
-3.295 -3.902 7.883
```

Values from the calculation:
SG ... C2/c, No. 15
Energy above the most stable polymorph in this dataset ... 0 meV per atom
Raw total energy ... -3.540 eV per atom
Formation energy without anion corrections ... -485 meV/atom